# 1
# LiThMg2Ag4 PBE-GGA relaxed
# Crystal system ... trigonal
# ΔH_f (0 K) ... -0.162 eV/atom
data_LiThMg2Ag4
_symmetry_space_group_name_H-M 'R -3 m'
_symmetry_Int_Tables_number 166
_symmetry_space_group_name_Hall '-R 3 2"'
_cell_length_a 4.7414
_cell_length_b 4.7414
_cell_length_c 25.3378
_cell_angle_alpha 90.00
_cell_angle_beta 90.00
_cell_angle_gamma 120.00
loop_
_atom_site_label
_atom_site_type_symbol
_atom_site_fract_x
_atom_site_fract_y
_atom_site_fract_z
Li1 Li 0.0000 0.0000 0.0000
Th1 Th 0.0000 0.0000 0.5000
Mg1 Mg 0.0000 0.0000 0.2574
Ag1 Ag 0.0000 0.0000 0.1042
Ag2 Ag 0.0000 0.0000 0.3718

# 2
# CdFe2Cl PBE-GGA relaxed
# Crystal system ... cubic
# Energy relative to the elements, uncorrected ... 3.016 eV per formula unit
# Polymorph energy (0 for the lowest one) ... 64.89 kJ per mole of atoms
data_CdFe2Cl
_symmetry_space_group_name_H-M 'F -4 3 m'
_symmetry_Int_Tables_number 216
_symmetry_space_group_name_Hall 'F -4 2 3'
_cell_length_a 6.4211
_cell_length_b 6.4211
_cell_length_c 6.4211
_cell_angle_alpha 90.00
_cell_angle_beta 90.00
_cell_angle_gamma 90.00
loop_
_atom_site_label
_atom_site_type_symbol
_atom_site_fract_x
_atom_site_fract_y
_atom_site_fract_z
Cd1 Cd 0.0000 0.0000 0.0000
Fe1 Fe 0.0000 0.0000 0.5000
Fe2 Fe 0.2500 0.2500 0.7500
Cl1 Cl 0.2500 0.2500 0.2500

# 3
# MnAsPb PBE-GGA relaxed
# Crystal system ... trigonal
# ΔH_f (0 K) ... 0.158 eV/atom
# Polymorph energy (0 for the lowest one) ... 9.77 kJ per mole of atoms
data_MnAsPb
_symmetry_space_group_name_H-M 'P 3 m 1'
_symmetry_Int_Tables_number 156
_symmetry_space_group_name_Hall 'P 3 -2"'
_cell_length_a 3.4233
_cell_length_b 3.4233
_cell_length_c 6.3625
_cell_angle_alpha 90.00
_cell_angle_beta 90.00
_cell_angle_gamma 120.00
loop_
_atom_site_label
_atom_site_type_symbol
_atom_site_fract_x
_atom_site_fract_y
_atom_site_fract_z
Mn1 Mn 0.0000 0.0000 0.0000
As1 As 0.3333 0.6667 0.7853
Pb1 Pb 0.6667 0.3333 0.3529

# 4
# BaCuBi PBE-GGA relaxed
# Crystal system ... hexagonal
# ΔH_f (0 K) ... -0.542 eV/atom
data_BaCuBi
_symmetry_space_group_name_H-M 'P 63/m m c'
_symmetry_Int_Tables_number 194
_symmetry_space_group_name_Hall '-P 6c 2c'
_cell_length_a 4.7692
_cell_length_b 4.7692
_cell_length_c 9.6502
_cell_angle_alpha 90.00
_cell_angle_beta 90.00
_cell_angle_gamma 120.00
loop_
_atom_site_label
_atom_site_type_symbol
_atom_site_fract_x
_atom_site_fract_y
_atom_site_fract_z
Ba1 Ba 0.0000 0.0000 0.0000
Cu1 Cu 0.3333 0.6667 0.2500
Bi1 Bi 0.3333 0.6667 0.7500

# 5
# AcCu2F6 PBE-GGA relaxed
# Crystal system ... trigonal
# Energy relative to the elements, uncorrected ... -22.886 eV per formula unit
# Polymorph energy (0 for the lowest one) ... 0.00 kJ per mole of atoms
data_AcCu2F6
_symmetry_space_group_name_H-M 'P -3 1 m'
_symmetry_Int_Tables_number 162
_symmetry_space_group_name_Hall '-P 3 2'
_cell_length_a 5.5082
_cell_length_b 5.5082
_cell_length_c 5.2960
_cell_angle_alpha 90.00
_cell_angle_beta 90.00
_cell_angle_gamma 120.00
loop_
_atom_site_label
_atom_site_type_symbol
_atom_site_fract_x
_atom_site_fract_y
_atom_site_fract_z
Ac1 Ac 0.0000 0.0000 0.0000
Cu1 Cu 0.3333 0.6667 0.5000
F1 F 0.0000 0.3570 0.2748

# 6
# Sc10Sb3As3 PBE-GGA relaxed
# Crystal system ... hexagonal
# Energy relative to the elements, uncorrected ... -15.222 eV per formula unit
data_Sc10Sb3As3
_symmetry_space_group_name_H-M 'P -6 2 m'
_symmetry_Int_Tables_number 189
_symmetry_space_group_name_Hall 'P -6 -2'
_cell_length_a 8.2284
_cell_length_b 8.2284
_cell_length_c 5.8110
_cell_angle_alpha 90.00
_cell_angle_beta 90.00
_cell_angle_gamma 120.00
loop_
_atom_site_label
_atom_site_type_symbol
_atom_site_fract_x
_atom_site_fract_y
_atom_site_fract_z
Sc1 Sc 0.0000 0.2468 0.0000
Sc2 Sc 0.0000 0.7545 0.5000
Sc3 Sc 0.3333 0.6667 0.2418
Sb1 Sb 0.0000 0.3910 0.5000
As1 As 0.0000 0.6179 0.0000